# ZrIn2Br6

A geometry-optimized ZrIn2Br6 structure (PBE, the Open Quantum Materials Database).

Output
calculated total energy = -3.768 eV/atom

Cell and atoms, written as CIF:
```
data_ZrIn2Br6
_chemical_formula_sum 'Zr2 In4 Br12'
_space_group_name_H-M_alt 'P 1 21/c 1'
_space_group_IT_number 14
_space_group_name_Hall '-P 2ybc'
_cell_length_a 7.4123
_cell_length_b 8.5018
_cell_length_c 12.4566
_cell_angle_alpha 90.00
_cell_angle_beta 124.93
_cell_angle_gamma 90.00
loop_
_atom_site_label
_atom_site_type_symbol
_atom_site_fract_x
_atom_site_fract_y
_atom_site_fract_z
Zr1 Zr 0.0000 0.0000 0.0000
In1 In 0.2770 0.1047 0.7617
Br1 Br 0.1534 0.0260 0.2511
Br2 Br 0.2207 0.7335 0.0512
Br3 Br 0.3434 0.1639 0.0447
```


# IrBr3

A geometry-optimized IrBr3 structure (PBE, the Open Quantum Materials Database).

Output
relative energy among the computed polymorphs = 159 meV per atom

Cell and atoms, written as CIF:
```
data_IrBr3
_chemical_formula_sum 'Ir6 Br18'
_space_group_name_H-M_alt 'R -3 c'
_space_group_IT_number 167
_space_group_name_Hall '-R 3 2"c'
_cell_length_a 6.1509
_cell_length_b 6.1509
_cell_length_c 17.2547
_cell_angle_alpha 90.00
_cell_angle_beta 90.00
_cell_angle_gamma 120.00
loop_
_atom_site_label
_atom_site_type_symbol
_atom_site_fract_x
_atom_site_fract_y
_atom_site_fract_z
Ir1 Ir 0.0000 0.0000 0.0000
Br1 Br 0.0000 0.3248 0.2500
```


# IrBr3

A geometry-optimized IrBr3 structure (PBE, the Open Quantum Materials Database).

Output
relative energy among the computed polymorphs = 0 meV per atom

Cell and atoms, written as CIF:
```
data_IrBr3
_chemical_formula_sum 'Ir8 Br24'
_space_group_name_H-M_alt 'C 1 2/c 1'
_space_group_IT_number 15
_space_group_name_Hall '-C 2yc'
_cell_length_a 6.4556
_cell_length_b 11.0307
_cell_length_c 12.3650
_cell_angle_alpha 90.00
_cell_angle_beta 90.54
_cell_angle_gamma 90.00
loop_
_atom_site_label
_atom_site_type_symbol
_atom_site_fract_x
_atom_site_fract_y
_atom_site_fract_z
Ir1 Ir 0.0000 0.0007 0.2500
Ir2 Ir 0.0000 0.3339 0.7500
Br1 Br 0.1474 0.1667 0.6373
Br2 Br 0.1754 0.4915 0.6373
Br3 Br 0.1756 0.1583 0.1373
```